VASP calculation (PBE-GGA) on a relaxed HoPuIrPd crystal.

Cell lengths 4.8936, 4.8936, 4.8936 Å; angles 60.00, 60.00, 60.00 degrees
Fractional coordinates of all 4 atoms:
1 Ir 0.7500 0.7500 0.7500
2 Ho 0.0000 0.0000 0.0000
3 Pd 0.2500 0.2500 0.2500
4 Pu 0.5000 0.5000 0.5000

Calculated values
Magnetic moment in μB/f.u.: 5.45
Symmetry: F-43m (216)
ΔH_f (0 K) in eV per atom: -0.652
Calculated volume in Å³ per atom: 20.72
Mass density in g cm⁻³: 14.18

---

VASP calculation (PBE-GGA) on a relaxed HoPuIrPd crystal.

Cell lengths 3.4343, 3.4343, 7.0784 Å; angles 90.00, 90.00, 90.00 degrees
Fractional coordinates of all 4 atoms:
1 Ho 0.0000 0.0000 0.8511
2 Pu 0.0000 0.0000 0.3735
3 Ir 0.5000 0.5000 0.6109
4 Pd 0.5000 0.5000 0.0924

Calculated values
Magnetic moment in μB/f.u.: 5.16
Symmetry: P4mm (99)
ΔH_f (0 K) in eV per atom: -0.653
Calculated volume in Å³ per atom: 20.87
Mass density in g cm⁻³: 14.07

---

VASP calculation (PBE-GGA) on a relaxed Ho2Si4Ir3Pd crystal.

Cell lengths 4.1113, 4.1113, 9.9886 Å; angles 90.00, 90.00, 90.00 degrees
Fractional coordinates of all 10 atoms:
1 Ho 0.5000 0.0000 0.2412
2 Ho 0.0000 0.5000 0.7588
3 Si 0.5000 0.5000 0.0000
4 Si 0.0000 0.0000 0.0000
5 Si 0.5000 0.0000 0.6363
6 Si 0.0000 0.5000 0.3637
7 Ir 0.0000 0.0000 0.5000
8 Ir 0.5000 0.0000 0.8721
9 Ir 0.0000 0.5000 0.1279
10 Pd 0.5000 0.5000 0.5000

Calculated values
Magnetic moment in μB/f.u.: 0.00
Symmetry: P-4m2 (115)
Calculated volume in Å³ per atom: 16.88
Energy relative to the elements, uncorrected in meV per atom: -1005
Mass density in g cm⁻³: 11.07

---

VASP calculation (PBE-GGA) on a relaxed HoThIrPd crystal.

Cell lengths 5.0072, 5.0072, 5.0072 Å; angles 60.00, 60.00, 60.00 degrees
Fractional coordinates of all 4 atoms:
1 Pd 0.5000 0.5000 0.5000
2 Ir 0.0000 0.0000 0.0000
3 Ho 0.7500 0.7500 0.7500
4 Th 0.2500 0.2500 0.2500

Calculated values
Magnetic moment in μB/f.u.: 0.00
Symmetry: F-43m (216)
ΔH_f (0 K) in eV per atom: -0.807
Energy above the lowest structure with this stoichiometry in meV/atom: 144
Calculated volume in Å³ per atom: 22.19
Mass density in g cm⁻³: 13.01

---

VASP calculation (PBE-GGA) on a relaxed HoThIrPd crystal.

Cell lengths 3.8529, 4.2734, 5.8951 Å; angles 90.00, 109.07, 90.00 degrees
Fractional coordinates of all 4 atoms:
1 Ho 0.1411 0.0000 0.2822
2 Th 0.8653 0.5000 0.7306
3 Ir 0.4039 0.0000 0.8077
4 Pd 0.5898 0.5000 0.1795

Calculated values
Magnetic moment in μB/f.u.: 0.00
Symmetry: Amm2 (38)
ΔH_f (0 K) in eV per atom: -0.951
Energy above the lowest structure with this stoichiometry in meV/atom: 0
Calculated volume in Å³ per atom: 22.93
Mass density in g cm⁻³: 12.59

---

VASP calculation (PBE-GGA) on a relaxed HoTmIrPd crystal.

Cell lengths 4.8527, 4.8527, 4.8527 Å; angles 60.00, 60.00, 60.00 degrees
Fractional coordinates of all 4 atoms:
1 Ir 0.5000 0.5000 0.5000
2 Tm 0.2500 0.2500 0.2500
3 Ho 0.7500 0.7500 0.7500
4 Pd 0.0000 0.0000 0.0000

Calculated values
Magnetic moment in μB/f.u.: 0.00
Symmetry: F-43m (216)
ΔH_f (0 K) in eV per atom: -0.955
Calculated volume in Å³ per atom: 20.20
Mass density in g cm⁻³: 13.00

---

VASP calculation (PBE-GGA) on a relaxed HoUIrPd crystal.

Cell lengths 4.8874, 4.8874, 4.8874 Å; angles 60.00, 60.00, 60.00 degrees
Fractional coordinates of all 4 atoms:
1 Ir 0.7500 0.7500 0.7500
2 U 0.0000 0.0000 0.0000
3 Ho 0.5000 0.5000 0.5000
4 Pd 0.2500 0.2500 0.2500

Calculated values
Magnetic moment in μB/f.u.: 2.55
Symmetry: F-43m (216)
ΔH_f (0 K) in eV per atom: -0.525
Calculated volume in Å³ per atom: 20.64
Mass density in g cm⁻³: 14.11

---

VASP calculation (PBE-GGA) on a relaxed HoZrIrPd crystal.

Cell lengths 4.7890, 4.7890, 4.7890 Å; angles 60.00, 60.00, 60.00 degrees
Fractional coordinates of all 4 atoms:
1 Zr 0.2500 0.2500 0.2500
2 Ir 0.0000 0.0000 0.0000
3 Ho 0.7500 0.7500 0.7500
4 Pd 0.5000 0.5000 0.5000

Calculated values
Magnetic moment in μB/f.u.: 0.00
Symmetry: F-43m (216)
ΔH_f (0 K) in eV per atom: -0.782
Calculated volume in Å³ per atom: 19.42
Mass density in g cm⁻³: 11.86

---

VASP calculation (PBE-GGA) on a relaxed Pm8HoIr6 crystal.

Cell lengths 7.8639, 7.8639, 7.8639 Å; angles 64.92, 64.92, 64.92 degrees
Fractional coordinates of all 15 atoms:
1 Pm 0.2185 0.5609 0.8853
2 Pm 0.1147 0.7815 0.4391
3 Pm 0.4391 0.1147 0.7815
4 Pm 0.6681 0.6681 0.6681
5 Pm 0.3319 0.3319 0.3319
6 Pm 0.5609 0.8853 0.2185
7 Pm 0.8853 0.2185 0.5609
8 Pm 0.7815 0.4391 0.1147
9 Ho 0.0000 0.0000 0.0000
10 Ir 0.0557 0.3876 0.7259
11 Ir 0.2741 0.9443 0.6124
12 Ir 0.6124 0.2741 0.9443
13 Ir 0.3876 0.7259 0.0557
14 Ir 0.7259 0.0557 0.3876
15 Ir 0.9443 0.6124 0.2741

Calculated values
Magnetic moment in μB/f.u.: 0.00
Symmetry: R-3 (148)
ΔH_f (0 K) in eV per atom: -0.649
Calculated volume in Å³ per atom: 25.39
Mass density in g cm⁻³: 10.81

---

VASP calculation (PBE-GGA) on a relaxed Pm2Ho2Ir3 crystal.

Cell lengths 4.8279, 4.8261, 8.5834 Å; angles 89.98, 106.35, 120.03 degrees
Fractional coordinates of all 7 atoms:
1 Pm 0.2482 0.1242 0.3724
2 Pm 0.7518 0.8758 0.6276
3 Ho 0.7482 0.3742 0.1220
4 Ho 0.2518 0.6258 0.8780
5 Ir 0.0000 0.0000 0.0000
6 Ir 0.5046 0.2520 0.7577
7 Ir 0.4954 0.7480 0.2423

Calculated values
Magnetic moment in μB/f.u.: 0.00
Symmetry: R-3m (166)
ΔH_f (0 K) in eV per atom: -0.758
Energy above the lowest structure with this stoichiometry in meV/atom: 0
Calculated volume in Å³ per atom: 23.39
Mass density in g cm⁻³: 12.13

---

VASP calculation (PBE-GGA) on a relaxed PmHoIr2 crystal.

Cell lengths 4.9054, 4.9054, 4.9054 Å; angles 60.00, 60.00, 60.00 degrees
Fractional coordinates of all 4 atoms:
1 Ir 0.2500 0.2500 0.2500
2 Ir 0.7500 0.7500 0.7500
3 Ho 0.5000 0.5000 0.5000
4 Pm 0.0000 0.0000 0.0000

Calculated values
Magnetic moment in μB/f.u.: 0.00
Symmetry: Fm-3m (225)
ΔH_f (0 K) in eV per atom: -0.708
Energy above the lowest structure with this stoichiometry in meV/atom: 5
Calculated volume in Å³ per atom: 20.87
Mass density in g cm⁻³: 13.81

---

VASP calculation (PBE-GGA) on a relaxed Pm3HoIr2 crystal.

Cell lengths 6.8873, 7.2195, 8.5093 Å; angles 115.10, 113.87, 90.00 degrees
Fractional coordinates of all 12 atoms:
1 Pm 0.5000 0.2500 0.0000
2 Pm 0.5000 0.7500 0.0000
3 Pm 0.7659 0.0159 0.5318
4 Pm 0.2341 0.4841 0.4682
5 Pm 0.2341 0.9841 0.4682
6 Pm 0.7659 0.5159 0.5318
7 Ho 0.0000 0.5000 0.0000
8 Ho 0.0000 0.0000 0.0000
9 Ir 0.5801 0.3635 0.7270
10 Ir 0.8530 0.1365 0.2730
11 Ir 0.1470 0.8635 0.7270
12 Ir 0.4199 0.6365 0.2730

Calculated values
Magnetic moment in μB/f.u.: 0.00
Symmetry: Ibam (72)
ΔH_f (0 K) in eV per atom: -0.558
Energy above the lowest structure with this stoichiometry in meV/atom: 0
Calculated volume in Å³ per atom: 28.56
Mass density in g cm⁻³: 9.54

---

VASP calculation (PBE-GGA) on a relaxed Pm2HoIr2 crystal.

Cell lengths 4.9168, 4.8706, 10.4243 Å; angles 90.00, 89.94, 90.00 degrees
Fractional coordinates of all 10 atoms:
1 Pm 0.2500 0.7500 0.5035
2 Pm 0.7507 0.2500 0.8305
3 Pm 0.7500 0.2500 0.4965
4 Pm 0.2493 0.7500 0.1695
5 Ho 0.2508 0.7500 0.8410
6 Ho 0.7492 0.2500 0.1590
7 Ir 0.2496 0.2500 0.0064
8 Ir 0.7495 0.7500 0.3366
9 Ir 0.2505 0.2500 0.6634
10 Ir 0.7504 0.7500 0.9936

Calculated values
Magnetic moment in μB/f.u.: 0.00
Symmetry: P2_1/m (11)
ΔH_f (0 K) in eV per atom: -0.666
Energy above the lowest structure with this stoichiometry in meV/atom: 0
Calculated volume in Å³ per atom: 24.96
Mass density in g cm⁻³: 11.17

---

VASP calculation (PBE-GGA) on a relaxed PmHoIr2 crystal.

Cell lengths 3.3387, 4.9900, 10.0035 Å; angles 90.00, 90.00, 90.00 degrees
Fractional coordinates of all 8 atoms:
1 Pm 0.5000 0.2500 0.8727
2 Pm 0.5000 0.7500 0.1273
3 Ho 0.5000 0.2500 0.3783
4 Ho 0.5000 0.7500 0.6217
5 Ir 0.0000 0.2500 0.1342
6 Ir 0.0000 0.7500 0.8658
7 Ir 0.0000 0.2500 0.6188
8 Ir 0.0000 0.7500 0.3812

Calculated values
Magnetic moment in μB/f.u.: 0.00
Symmetry: Pmma (51)
ΔH_f (0 K) in eV per atom: -0.713
Energy above the lowest structure with this stoichiometry in meV/atom: 0
Calculated volume in Å³ per atom: 20.83
Mass density in g cm⁻³: 13.84

---

VASP calculation (PBE-GGA) on a relaxed PmHo3Ir2 crystal.

Cell lengths 4.6536, 7.2459, 8.7472 Å; angles 90.00, 90.00, 90.00 degrees
Fractional coordinates of all 12 atoms:
1 Pm 0.5000 0.5102 0.5843
2 Pm 0.5000 0.0102 0.4157
3 Ho 0.0000 0.4891 0.9147
4 Ho 0.0000 0.9891 0.0853
5 Ho 0.5000 0.6417 0.1668
6 Ho 0.5000 0.1417 0.8332
7 Ho 0.0000 0.3595 0.3260
8 Ho 0.0000 0.8595 0.6740
9 Ir 0.5000 0.7471 0.8451
10 Ir 0.5000 0.2471 0.1549
11 Ir 0.0000 0.2524 0.6614
12 Ir 0.0000 0.7524 0.3386

Calculated values
Magnetic moment in μB/f.u.: 0.00
Symmetry: Pmc2_1 (26)
ΔH_f (0 K) in eV per atom: -0.716
Energy above the lowest structure with this stoichiometry in meV/atom: 0
Calculated volume in Å³ per atom: 24.58
Mass density in g cm⁻³: 11.53

---

VASP calculation (PBE-GGA) on a relaxed Pm5Ho2Ir4 crystal.

Cell lengths 4.8039, 6.0765, 10.5581 Å; angles 102.16, 103.15, 90.00 degrees
Fractional coordinates of all 11 atoms:
1 Pm 0.2145 0.1454 0.4291
2 Pm 0.7855 0.8546 0.5709
3 Pm 0.0721 0.7138 0.1442
4 Pm 0.5000 0.0000 0.0000
5 Pm 0.9279 0.2862 0.8558
6 Ho 0.6372 0.4274 0.2743
7 Ho 0.3628 0.5726 0.7257
8 Ir 0.6437 0.9343 0.2873
9 Ir 0.0739 0.2271 0.1479
10 Ir 0.3563 0.0657 0.7127
11 Ir 0.9261 0.7729 0.8521

Calculated values
Magnetic moment in μB/f.u.: 0.00
Symmetry: C2/m (12)
ΔH_f (0 K) in eV per atom: -0.564
Calculated volume in Å³ per atom: 26.64
Mass density in g cm⁻³: 10.34

---

VASP calculation (PBE-GGA) on a relaxed Pm3Ho2Ir2 crystal.

Cell lengths 3.9241, 6.4089, 8.8750 Å; angles 113.77, 90.00, 107.83 degrees
Fractional coordinates of all 7 atoms:
1 Pm 0.5000 0.0000 0.0000
2 Pm 0.6163 0.2327 0.4283
3 Pm 0.3837 0.7673 0.5717
4 Ho 0.8289 0.6578 0.1869
5 Ho 0.1711 0.3422 0.8131
6 Ir 0.8159 0.6318 0.7652
7 Ir 0.1841 0.3682 0.2348

Calculated values
Magnetic moment in μB/f.u.: 0.00
Symmetry: C2/m (12)
ΔH_f (0 K) in eV per atom: -0.554
Calculated volume in Å³ per atom: 27.50
Mass density in g cm⁻³: 9.91

---

VASP calculation (PBE-GGA) on a relaxed PmHo3Ir4 crystal.

Cell lengths 4.9460, 6.6513, 9.8932 Å; angles 90.00, 90.00, 90.00 degrees
Fractional coordinates of all 16 atoms:
1 Ir 0.5000 0.7552 0.0000
2 Ir 0.5000 0.7552 0.5000
3 Ir 0.5000 0.2448 0.0000
4 Ir 0.5000 0.2448 0.5000
5 Ir 0.0006 0.7551 0.7500
6 Ir 0.9994 0.7551 0.2500
7 Ir 0.9994 0.2449 0.2500
8 Ir 0.0006 0.2449 0.7500
9 Ho 0.0000 0.0000 0.0000
10 Ho 0.0000 0.0000 0.5000
11 Ho 0.5004 0.0000 0.7500
12 Ho 0.4996 0.0000 0.2500
13 Ho 0.5003 0.5000 0.7500
14 Ho 0.4997 0.5000 0.2500
15 Pm 0.0000 0.5000 0.0000
16 Pm 0.0000 0.5000 0.5000

Calculated values
Magnetic moment in μB/f.u.: 0.00
Symmetry: P4/mmm (123)
ΔH_f (0 K) in eV per atom: -0.773
Calculated volume in Å³ per atom: 20.34
Mass density in g cm⁻³: 14.37

---

VASP calculation (PBE-GGA) on a relaxed Pm2Ho2Ir3 crystal.

Cell lengths 4.4554, 5.9629, 7.4830 Å; angles 98.57, 89.93, 111.96 degrees
Fractional coordinates of all 7 atoms:
1 Pm 0.8646 0.7278 0.6448
2 Pm 0.1354 0.2722 0.3552
3 Ho 0.6400 0.2799 0.9375
4 Ho 0.3600 0.7201 0.0625
5 Ir 0.0000 0.0000 0.0000
6 Ir 0.8101 0.6208 0.2632
7 Ir 0.1899 0.3792 0.7368

Calculated values
Magnetic moment in μB/f.u.: 0.00
Symmetry: P-1 (2)
ΔH_f (0 K) in eV per atom: -0.620
Energy above the lowest structure with this stoichiometry in meV/atom: 138
Calculated volume in Å³ per atom: 26.00
Mass density in g cm⁻³: 10.92

---

VASP calculation (PBE-GGA) on a relaxed Pm2HoIr2 crystal.

Cell lengths 6.2405, 7.8387, 7.3331 Å; angles 122.31, 115.18, 90.00 degrees
Fractional coordinates of all 10 atoms:
1 Pm 0.8402 0.7058 0.6803
2 Pm 0.1598 0.2942 0.3197
3 Pm 0.6598 0.0255 0.3197
4 Pm 0.3402 0.9745 0.6803
5 Ho 0.7500 0.5000 0.0000
6 Ho 0.2500 0.5000 0.0000
7 Ir 0.4042 0.6695 0.8084
8 Ir 0.5958 0.3305 0.1916
9 Ir 0.0958 0.8611 0.1916
10 Ir 0.9042 0.1389 0.8084

Calculated values
Magnetic moment in μB/f.u.: 0.00
Symmetry: Ibam (72)
ΔH_f (0 K) in eV per atom: -0.583
Energy above the lowest structure with this stoichiometry in meV/atom: 83
Calculated volume in Å³ per atom: 26.20
Mass density in g cm⁻³: 10.64